Entry from Alexandria via LeMat-Bulk: Pr12Er7Th after structural relaxation (PBE).

extended XYZ file:
```
20
Lattice="0.7218 -5.4525 -3.0398 -0.4098 -3.7631 10.9831 -9.9852 3.6869 -4.6539" Properties=species:S:1:pos:R:3 pbc="T T T"
Pr -1.9448 -2.0499 5.3608
Pr -5.8919 1.0298 -1.0613
Pr 0.1517 -5.7042 5.2809
Pr -3.2455 -0.8894 -2.8495
Pr -5.6805 -2.0943 0.2621
Pr -6.6975 -0.3015 3.9373
Pr -2.9757 -5.2272 -0.6479
Pr -3.9927 -3.4344 3.0273
Pr -6.4277 -4.6393 6.1389
Pr -9.8249 0.1756 -1.9915
Pr -3.7813 -6.5584 4.3507
Pr -7.7284 -3.4788 -2.0714
Er -0.2209 -3.6216 7.8482
Er -1.8424 -3.7725 -3.7363
Er -7.4078 -3.3832 2.9049
Er 0.3609 -2.7263 -1.5199
Er -2.2654 -2.1455 0.3845
Er -7.8308 -1.7562 7.0257
Er -9.4523 -1.9071 -4.5588
Th 0.0000 0.0000 0.0000
```

Properties
As for the offset from the most stable computed form: 46 meV/atom. The calculation puts the formation energy from the elements at 0.267 eV per atom.